# 1
First-principles (PBE) data for RePb2Se after structural relaxation, as listed in Alexandria via LeMat-Bulk.

Structure (POSCAR):
```
RePb2Se
1.0
4.700 0.000 0.000
0.000 3.854 0.025
0.000 1.895 5.260
Pb Re Se
2 1 1
Direct
0.000 0.963 0.951
0.500 0.288 0.300
0.000 0.673 0.529
0.500 0.577 0.721
```

Values from the calculation:
**Fermi-level density of states**: 3.18 states/eV per cell
**Formation energy from raw total energies**: 0.562 eV per atom
**Symmetry**: Amm2 (38)

---

# 2
First-principles (PBE) data for RePb2Se after structural relaxation, as listed in Alexandria via LeMat-Bulk.

Structure (POSCAR):
```
RePb2Se
1.0
5.445 0.000 -0.003
4.454 3.131 -0.003
2.299 0.727 5.887
Pb Re Se
2 1 1
Direct
0.971 0.971 0.012
0.819 0.819 0.609
0.551 0.551 0.594
0.159 0.159 0.285
```

Values from the calculation:
**Fermi-level density of states**: 3.58 states/eV per cell
**Formation energy from raw total energies**: 0.336 eV per atom
**Symmetry**: Cm (8)

---

# 3
First-principles (PBE) data for RePbSe2 after structural relaxation, as listed in Alexandria via LeMat-Bulk.

Structure (POSCAR):
```
RePbSe2
1.0
-2.051 1.156 4.615
3.600 -1.209 3.524
0.390 2.904 -4.272
Pb Re Se
1 1 2
Direct
0.500 0.500 0.000
0.750 0.250 0.500
0.000 0.000 0.000
0.250 0.750 0.500
```

Values from the calculation:
**Fermi-level density of states**: 3.73 states/eV per cell
**Formation energy from raw total energies**: 0.945 eV per atom
**Symmetry**: I-4m2 (119)